# BaCa2Pb PBE-GGA optimized geometry
# Energy (eV per atom): -2.69
# N(E_F) (states/eV per atom): 1.066
# Energy relative to the elements (eV per formula unit): -1.12
data_BaCa2Pb
_chemical_formula_sum 'Ba2 Ca4 Pb2'
_space_group_name_H-M_alt 'C 1 2/m 1'
_space_group_IT_number 12
_cell_length_a 14.763
_cell_length_b 3.900
_cell_length_c 6.322
_cell_angle_alpha 90.00
_cell_angle_beta 115.09
_cell_angle_gamma 90.00
loop_
_space_group_symop_operation_xyz
'x,y,z'
'-x,-y,-z'
'-x,y,-z'
'x,-y,z'
'x+1/2,y+1/2,z'
'-x+1/2,-y+1/2,-z'
'-x+1/2,y+1/2,-z'
'x+1/2,-y+1/2,z'
loop_
_atom_site_label
_atom_site_fract_x
_atom_site_fract_y
_atom_site_fract_z
Ba1 0.000 0.000 0.000
Ca1 0.202 0.000 0.702
Pb1 0.000 0.500 0.500



# BaCa2Pb PBE-GGA optimized geometry
# Energy (eV per atom): -2.69
# N(E_F) (states/eV per atom): 0.796
# Energy relative to the elements (eV per formula unit): -1.14
data_BaCa2Pb
_chemical_formula_sum 'Ba3 Ca6 Pb3'
_space_group_name_H-M_alt 'R 3 m'
_space_group_IT_number 160
_space_group_name_Hall 'R 3 -2"'
_cell_length_a 5.4182
_cell_length_b 5.4182
_cell_length_c 20.1631
_cell_angle_alpha 90.00
_cell_angle_beta 90.00
_cell_angle_gamma 120.00
loop_
_atom_site_label
_atom_site_fract_x
_atom_site_fract_y
_atom_site_fract_z
Ba1 0.0000 0.0000 0.0000
Ca1 0.0000 0.0000 0.2123
Ca2 0.0000 0.0000 0.4440
Pb1 0.0000 0.0000 0.8152



# Ba2CaPb PBE-GGA optimized geometry
# Energy (eV per atom): -2.65
# N(E_F) (states/eV per atom): 1.322
# Energy relative to the elements (eV per formula unit): -1.03
data_Ba2CaPb
_chemical_formula_sum 'Ba2 Ca1 Pb1'
_space_group_name_H-M_alt 'P 4 m m'
_space_group_IT_number 99
_cell_length_a 4.086
_cell_length_b 4.086
_cell_length_c 11.077
_cell_angle_alpha 90.00
_cell_angle_beta 90.00
_cell_angle_gamma 90.00
loop_
_space_group_symop_operation_xyz
'x,y,z'
'-y,x,z'
'-x,-y,z'
'y,-x,z'
'-x,y,z'
'y,x,z'
'x,-y,z'
'-y,-x,z'
loop_
_atom_site_label
_atom_site_fract_x
_atom_site_fract_y
_atom_site_fract_z
Ba1 0.000 0.000 0.000
Ba2 0.500 0.500 0.338
Ca1 0.000 0.000 0.626
Pb1 0.500 0.500 0.789



Copy entry 1 word for word.
# BaCa2Pb PBE-GGA optimized geometry
# Energy (eV per atom): -2.69
# N(E_F) (states/eV per atom): 1.066
# Energy relative to the elements (eV per formula unit): -1.12
data_BaCa2Pb
_chemical_formula_sum 'Ba2 Ca4 Pb2'
_space_group_name_H-M_alt 'C 1 2/m 1'
_space_group_IT_number 12
_cell_length_a 14.763
_cell_length_b 3.900
_cell_length_c 6.322
_cell_angle_alpha 90.00
_cell_angle_beta 115.09
_cell_angle_gamma 90.00
loop_
_space_group_symop_operation_xyz
'x,y,z'
'-x,-y,-z'
'-x,y,-z'
'x,-y,z'
'x+1/2,y+1/2,z'
'-x+1/2,-y+1/2,-z'
'-x+1/2,y+1/2,-z'
'x+1/2,-y+1/2,z'
loop_
_atom_site_label
_atom_site_fract_x
_atom_site_fract_y
_atom_site_fract_z
Ba1 0.000 0.000 0.000
Ca1 0.202 0.000 0.702
Pb1 0.000 0.500 0.500